No. 1
The following is a SCAN calculation of a PBEsol-optimized structure of KCdSb2, from Alexandria.

Cell: 3.149 5.561 6.262 Å, 90.00 90.00 90.00°
Positions (direct):
K (0.000, 0.000, 0.000)
Cd (0.500, 0.500, 0.267)
Sb (0.500, 0.000, 0.499)
Sb (0.500, 0.500, 0.760)

Properties
SG: No. 25
Magnetic moment: 0.0 Bohr magnetons per cell
Mass density: 5.982 g/cm³
ΔE_f (raw): -0.14 eV per atom

---

No. 2
The following is a SCAN calculation of a PBEsol-optimized structure of KCd2Sb2, from Alexandria.

Cell: 7.133 7.133 7.133 Å, 140.61 140.61 56.93°
Positions (direct):
K (0.000, 0.000, 0.000)
Cd (0.392, 0.392, 0.000)
Cd (0.608, 0.608, 0.000)
Sb (0.250, 0.750, 0.500)
Sb (0.750, 0.250, 0.500)

Properties
SG: No. 139
Magnetic moment: 0.0 Bohr magnetons per cell
Mass density: 5.813 g/cm³
ΔE_f (raw): -0.25 eV per atom

---

No. 3
The following is a SCAN calculation of a PBEsol-optimized structure of KCdSb2Te, from Alexandria.

Cell: 5.492 5.492 5.801 Å, 90.00 90.00 90.00°
Positions (direct):
K (0.000, 0.000, 0.000)
Cd (0.500, 0.500, 0.500)
Sb (0.000, 0.500, 0.500)
Sb (0.500, 0.000, 0.500)
Te (0.500, 0.500, 0.000)

Properties
SG: No. 123
Magnetic moment: 0.6 Bohr magnetons per cell
Mass density: 4.960 g/cm³
ΔE_f (raw): 0.16 eV per atom

---

No. 4
The following is a SCAN calculation of a PBEsol-optimized structure of KCdSb2W, from Alexandria.

Cell: 5.413 5.413 5.363 Å, 90.00 90.00 90.00°
Positions (direct):
K (0.000, 0.000, 0.000)
Cd (0.000, 0.000, 0.500)
Sb (0.000, 0.500, 0.500)
Sb (0.500, 0.000, 0.500)
W (0.500, 0.500, 0.000)

Properties
SG: No. 123
Magnetic moment: 4.4 Bohr magnetons per cell
Mass density: 6.117 g/cm³
ΔE_f (raw): 1.54 eV per atom

---

No. 5
The following is a SCAN calculation of a PBEsol-optimized structure of KSc4Cd, from Alexandria.

Cell: 6.100 6.100 6.100 Å, 60.00 60.00 60.00°
Positions (direct):
K (0.000, 0.000, 0.000)
Sc (0.134, 0.622, 0.622)
Sc (0.622, 0.134, 0.622)
Sc (0.622, 0.622, 0.134)
Sc (0.622, 0.622, 0.622)
Cd (0.250, 0.250, 0.250)

Properties
SG: No. 216
Magnetic moment: 0.0 Bohr magnetons per cell
Mass density: 3.427 g/cm³
VASP energy: -15.46 eV/atom

---

No. 6
The following is a SCAN calculation of a PBEsol-optimized structure of KCdSe2, from Alexandria.

Cell: 3.112 3.807 7.985 Å, 90.00 90.00 90.00°
Positions (direct):
K (0.000, 0.000, 0.000)
Cd (0.000, 0.000, 0.500)
Se (0.500, 0.500, 0.282)
Se (0.500, 0.500, 0.718)

Properties
SG: No. 47
Magnetic moment: 0.0 Bohr magnetons per cell
Mass density: 5.432 g/cm³
ΔE_f (raw): -0.55 eV per atom

---

No. 7
The following is a SCAN calculation of a PBEsol-optimized structure of KCdSe, from Alexandria.

Cell: 4.447 4.447 5.571 Å, 90.00 90.00 120.00°
Positions (direct):
K (0.000, 0.000, 0.000)
Cd (0.667, 0.333, 0.456)
Se (0.333, 0.667, 0.622)

Properties
SG: No. 156
Energy above the lowest structure with this stoichiometry: 0.0 meV/atom
Magnetic moment: 0.9 Bohr magnetons per cell
Mass density: 4.011 g/cm³
ΔE_f (raw): -0.64 eV per atom

---

No. 8
The following is a SCAN calculation of a PBEsol-optimized structure of KCdSe, from Alexandria.

Cell: 5.091 5.091 5.091 Å, 60.00 60.00 60.00°
Positions (direct):
K (0.000, 0.000, 0.000)
Cd (0.250, 0.250, 0.250)
Se (0.750, 0.750, 0.750)

Properties
SG: No. 216
Energy above the lowest structure with this stoichiometry: 433.4 meV/atom
Magnetic moment: 0.0 Bohr magnetons per cell
Mass density: 4.101 g/cm³
ΔE_f (raw): -0.20 eV per atom